A geometry-optimized LiMnPb2O6 structure, computed with PBE with a Hubbard U.

Output
Space group   R3, No. 146
Energy   -58.528 eV per formula unit
D(E_F)   2.23 states/eV/cell

Cell: 5.4565 5.4562 5.8653 Å, 62.29 62.29 60.00°
Last column: nearest neighbours and their distance in Å.
Element x y z (fractional)
O 0.9266 0.6155 0.2754  1 Mn 1.98, 1 Li 2.03, 1 Pb 2.19
O 0.4961 0.6943 0.7341  1 Mn 1.91
O 0.0755 0.4961 0.7342  1 Mn 1.91
O 0.6942 0.0755 0.7342  1 Mn 1.91
O 0.6154 0.1825 0.2754  1 Mn 1.98, 1 Li 2.03, 1 Pb 2.19
O 0.1825 0.9267 0.2755  1 Mn 1.98, 1 Li 2.03, 1 Pb 2.19
Mn 0.8253 0.8252 0.5243  6 O 1.91-1.98
Li 0.2904 0.2904 0.1288  3 O 2.03
Pb 0.0354 0.0353 0.8938  6 O 2.33-2.44
Pb 0.5202 0.5202 0.4395  6 O 2.19-2.26